# 1
First-principles (GGA-PBE) data for a geometry-optimized ZnCuRuO4 structure, as listed in Alexandria via LeMat-Bulk.

The structure belongs to space group Imma (No. 74); the cell edges are 5.8233, 5.8861 and 9.2921 Å and the angles 90.00°, 90.00° and 90.00°. Symmetry generates all atoms from Zn at (0.0000, 0.2500, 0.1563), Cu at (0.2500, 0.2500, 0.7500), Ru at (0.0000, 0.0000, 0.5000), O at (0.0000, 0.0295, 0.7178) and O at (0.2360, 0.2500, 0.4789).

The value obtained for the formation energy from raw total energies is -922 meV/atom.



# 2
First-principles (GGA-PBE) data for a geometry-optimized KRb4Au5 structure, as listed in Alexandria via LeMat-Bulk.

The structure belongs to space group P4/mmm (No. 123); the cell edges are 4.1420, 4.1420 and 20.6009 Å and the angles 90.00°, 90.00° and 90.00°. Symmetry generates all atoms from K at (0.0000, 0.0000, 0.0000), Rb at (0.0000, 0.0000, 0.1945), Rb at (0.0000, 0.0000, 0.3984), Au at (0.5000, 0.5000, 0.0892), Au at (0.5000, 0.5000, 0.2967) and Au at (0.5000, 0.5000, 0.5000).

For the formation enthalpy at 0 K, the calculation gives -0.28 eV/atom.



# 3
First-principles (GGA-PBE) data for a geometry-optimized Tl3HgP structure, as listed in Alexandria via LeMat-Bulk.

The structure belongs to space group C2/c (No. 15); the cell edges are 17.4485, 12.3909 and 6.2479 Å and the angles 90.00°, 97.21° and 90.00°. Symmetry generates all atoms from Tl at (0.1446, 0.2500, 0.1036), Tl at (0.1615, 0.0363, 0.5835), Tl at (0.1621, 0.4638, 0.5850), Hg at (0.0000, 0.0484, 0.7500), Hg at (0.0000, 0.4552, 0.7500) and P at (0.2085, 0.2499, 0.6186).

For the formation enthalpy at 0 K, the calculation gives 0.10 eV/atom.



# 4
First-principles (GGA-PBE) data for a geometry-optimized Cu2TcOs2 structure, as listed in Alexandria via LeMat-Bulk.

The structure belongs to space group P4/mbm (No. 127); the cell edges are 7.2850, 7.2850 and 2.6686 Å and the angles 90.00°, 90.00° and 90.00°. Symmetry generates all atoms from Cu at (0.1757, 0.3243, 0.0000), Tc at (0.0000, 0.0000, 0.5000) and Os at (0.1214, 0.6214, 0.5000).

For the formation enthalpy at 0 K, the calculation gives 0.73 eV/atom.



# 5
First-principles (GGA-PBE) data for a geometry-optimized BaTaAs structure, as listed in Alexandria via LeMat-Bulk.

The structure belongs to space group F-43m (No. 216); the cell edges are 7.4396, 7.4396 and 7.4396 Å and the angles 90.00°, 90.00° and 90.00°. Symmetry generates all atoms from Ba at (0.0000, 0.0000, 0.0000), Ta at (0.2500, 0.2500, 0.2500) and As at (0.2500, 0.2500, 0.7500).

For the formation enthalpy at 0 K, the calculation gives 1.52 eV/atom.



# 6
First-principles (GGA-PBE) data for a geometry-optimized K2Ag15Hg2 structure, as listed in Alexandria via LeMat-Bulk.

The structure belongs to space group R-3m (No. 166, hexagonal axes); the cell edges are 9.9469, 9.9469 and 14.2518 Å and the angles 90.00°, 90.00° and 120.00°. Symmetry generates all atoms from K at (0.0000, 0.0000, 0.1524), Ag at (0.0000, 0.3058, 0.5000), Ag at (0.0000, 0.5000, 0.0000), Ag at (0.0015, 0.5008, 0.3437) and Hg at (0.0000, 0.0000, 0.3970).

For the formation enthalpy at 0 K, the calculation gives 0.02 eV/atom.



# 7
First-principles (GGA-PBE) data for a geometry-optimized ZnAgW2 structure, as listed in Alexandria via LeMat-Bulk.

The structure belongs to space group Cmmm (No. 65); the cell edges are 3.4689, 4.1002 and 8.9509 Å and the angles 90.00°, 90.00° and 90.00°. Symmetry generates all atoms from Zn at (0.0000, 0.0000, 0.0000), Ag at (0.0000, 0.0000, 0.5000) and W at (0.0000, 0.5000, 0.2390).

For the formation enthalpy at 0 K, the calculation gives 0.48 eV/atom.



# 8
First-principles (GGA-PBE) data for a geometry-optimized NaSc5Tl3 structure, as listed in Alexandria via LeMat-Bulk.

The structure belongs to space group P6_3/mcm (No. 193); the cell edges are 8.8218, 8.8218 and 6.2882 Å and the angles 90.00°, 90.00° and 120.00°. Symmetry generates all atoms from Na at (0.0000, 0.0000, 0.0000), Sc at (0.0000, 0.3232, 0.2500), Sc at (0.3333, 0.6667, 0.0000) and Tl at (0.0000, 0.3454, 0.7500).

For the formation enthalpy at 0 K, the calculation gives -0.22 eV/atom.



# 9
First-principles (GGA-PBE) data for a geometry-optimized Tb2TlRu structure, as listed in Alexandria via LeMat-Bulk.

The structure belongs to space group P4/mmm (No. 123); the cell edges are 5.0665, 5.0665 and 3.6668 Å and the angles 90.00°, 90.00° and 90.00°. Symmetry generates all atoms from Tb at (0.0000, 0.5000, 0.0000), Tl at (0.0000, 0.0000, 0.5000) and Ru at (0.5000, 0.5000, 0.5000).

For the formation enthalpy at 0 K, the calculation gives -0.23 eV/atom.



# 10
First-principles (GGA-PBE) data for a geometry-optimized Pr5SmErTm2 structure, as listed in Alexandria via LeMat-Bulk.

The structure belongs to space group Cmc2_1 (No. 36); the cell edges are 5.6482, 20.5618 and 10.7963 Å and the angles 90.00°, 90.00° and 90.00°. Symmetry generates all atoms from Pr at (0.0000, 0.0146, 0.0000), Pr at (0.0000, 0.2804, 0.2933), Pr at (0.0000, 0.2954, 0.6864), Pr at (0.0000, 0.3856, 0.0042), Pr at (0.0000, 0.4835, 0.7270), Sm at (0.0000, 0.1995, 0.9923), Er at (0.0000, 0.4078, 0.4465), Tm at (0.0000, 0.1110, 0.7241) and Tm at (0.0000, 0.1148, 0.2890).

For the formation enthalpy at 0 K, the calculation gives 0.14 eV/atom.



# 11
First-principles (GGA-PBE) data for a geometry-optimized Bi2H3Pd5 structure, as listed in Alexandria via LeMat-Bulk.

The structure belongs to space group Ibam (No. 72); the cell edges are 7.9062, 13.0718 and 5.6307 Å and the angles 90.00°, 90.00° and 90.00°. Symmetry generates all atoms from Bi at (0.2236, 0.1465, 0.0000), H at (0.0000, 0.0000, 0.2500), H at (0.1135, 0.4377, 0.0000), Pd at (0.0000, 0.2702, 0.2500), Pd at (0.0000, 0.5000, 0.2500) and Pd at (0.1503, 0.0653, 0.5000).

The value obtained for the calculated total energy is -4.450 eV/atom.



# 12
First-principles (GGA-PBE) data for a geometry-optimized Au2Br structure, as listed in Alexandria via LeMat-Bulk.

The structure belongs to space group P6/mmm (No. 191); the cell edges are 4.6920, 4.6920 and 3.6216 Å and the angles 90.00°, 90.00° and 120.00°. Symmetry generates all atoms from Au at (0.3333, 0.6667, 0.0000) and Br at (0.0000, 0.0000, 0.5000).

The value obtained for the formation energy from raw total energies is 465 meV/atom.



| no. | calculated density (g/cm3) |
| --- | --- |
| 1 | 6.1 |
| 2 | 6.4 |
| 3 | 8.4 |
| 4 | 14.2 |
| 5 | 6.3 |
| 6 | 8.6 |
| 7 | 14.1 |
| 8 | 6.7 |
| 9 | 11.0 |
| 10 | 7.2 |
| 11 | 10.9 |
| 12 | 11.4 |